VASP calculation (SCAN) on a PBEsol-optimized structure of HoBe13.

Computed properties:
* energy: -108.05 eV per formula unit
* space group: Fm-3c
* formation energy: -176 meV per atom

Lattice parameters (Å, degrees): 7.1511 7.1511 7.1511 60.00 60.00 60.00
Element x y z (fractional)
1 Be 0.5000 0.5000 0.5000
2 Be 0.0000 0.0000 0.0000
3 Be 0.4378 0.5622 0.2086
4 Be 0.2086 0.7914 0.4378
5 Be 0.7914 0.2086 0.5622
6 Be 0.5622 0.4378 0.7914
7 Be 0.5622 0.7914 0.2086
8 Be 0.7914 0.5622 0.4378
9 Be 0.2086 0.4378 0.5622
10 Be 0.4378 0.2086 0.7914
11 Be 0.7914 0.4378 0.2086
12 Be 0.5622 0.2086 0.4378
13 Be 0.4378 0.7914 0.5622
14 Be 0.2086 0.5622 0.7914
15 Be 0.2914 0.9378 0.0622
16 Be 0.0622 0.7086 0.2914
17 Be 0.9378 0.2914 0.7086
18 Be 0.7086 0.0622 0.9378
19 Be 0.2914 0.7086 0.9378
20 Be 0.0622 0.9378 0.7086
21 Be 0.9378 0.0622 0.2914
22 Be 0.7086 0.2914 0.0622
23 Be 0.2914 0.0622 0.7086
24 Be 0.0622 0.2914 0.9378
25 Be 0.9378 0.7086 0.0622
26 Be 0.7086 0.9378 0.2914
27 Ho 0.7500 0.7500 0.7500
28 Ho 0.2500 0.2500 0.2500